DFT (PBE) results for a geometry-optimized LaSmAu structure.

Computed properties:
The calculation puts the energy of formation at -0.524 eV/atom. As for the space group: C2/m, No. 12. The crystal system is monoclinic. The value obtained for the calculated total energy is -28.994 eV/cell. The relative energy among the computed polymorphs comes out at 0.05 eV per formula unit.

a b c (Å): 4.9674 4.9674 7.4821
angles (deg): 90.10 90.10 90.02
Element x y z (fractional)
1 La 0.2498 0.2498 0.1193
2 La 0.7502 0.7502 0.8807
3 Sm 0.2498 0.7502 0.5000
4 Sm 0.7502 0.2498 0.5000
5 Au 0.2512 0.2512 0.7286
6 Au 0.7488 0.7488 0.2714

=====

DFT (PBE) results for a geometry-optimized Ca2PmTlO structure.

Computed properties:
As for the space group: P4/mmm, No. 123. The crystal system is tetragonal. The calculation puts the formation energy (no corrections) at -6.959 eV/f.u. The value obtained for the calculated total energy is -23.037 eV/cell.

a b c (Å): 4.8515 4.8515 5.0008
angles (deg): 90.00 90.00 90.00
Element x y z (fractional)
1 Ca 0.0000 0.5000 0.0000
2 Ca 0.5000 0.0000 0.0000
3 Pm 0.0000 0.0000 0.5000
4 Tl 0.5000 0.5000 0.5000
5 O 0.0000 0.0000 0.0000

=====

DFT (PBE) results for a geometry-optimized Tb6DyErSc2 structure.

Computed properties:
The calculation puts the energy of formation at 0.125 eV/atom. As for the space group: C2/c, No. 15. The crystal system is monoclinic. The value obtained for the calculated total energy is -96.717 eV/cell.

a b c (Å): 8.6274 8.6274 9.3767
angles (deg): 93.89 93.89 117.55
Element x y z (fractional)
1 Tb 0.0177 0.5621 0.1811
2 Tb 0.1160 0.7581 0.5535
3 Tb 0.2419 0.8840 0.9465
4 Tb 0.2974 0.5043 0.3818
5 Tb 0.4379 0.9823 0.3189
6 Tb 0.4957 0.7026 0.1182
7 Tb 0.5043 0.2974 0.8818
8 Tb 0.5621 0.0177 0.6811
9 Tb 0.7026 0.4957 0.6182
10 Tb 0.7581 0.1160 0.0535
11 Tb 0.8840 0.2419 0.4465
12 Tb 0.9823 0.4379 0.8189
13 Dy 0.4069 0.5931 0.7500
14 Dy 0.5931 0.4069 0.2500
15 Er 0.0271 0.9729 0.2500
16 Er 0.9729 0.0271 0.7500
17 Sc 0.1960 0.3002 0.0469
18 Sc 0.3002 0.1960 0.5469
19 Sc 0.6998 0.8040 0.4531
20 Sc 0.8040 0.6998 0.9531

=====

DFT (PBE) results for a geometry-optimized CeCoH structure.

Computed properties:
As for the space group: C2/m, No. 12. The crystal system is monoclinic. The value obtained for the calculated total energy is -34.447 eV/cell. The relative energy among the computed polymorphs comes out at 0.20 eV per formula unit.

a b c (Å): 4.7212 4.7212 4.3966
angles (deg): 91.03 91.03 57.53
Element x y z (fractional)
1 Ce 0.1449 0.1449 0.2796
2 Ce 0.8551 0.8551 0.7204
3 Co 0.4252 0.4252 0.2469
4 Co 0.5748 0.5748 0.7531
5 H 0.3550 0.3550 0.8963
6 H 0.6450 0.6450 0.1037

=====

DFT (PBE) results for a geometry-optimized KNa2CuH4 structure.

Computed properties:
As for the space group: I-4, No. 82. The crystal system is tetragonal. The value obtained for the calculated total energy is -22.116 eV/cell.

a b c (Å): 5.8643 5.8643 5.8643
angles (deg): 126.99 126.99 78.27
Element x y z (fractional)
1 K 0.0000 0.0000 0.0000
2 Na 0.2500 0.7500 0.5000
3 Na 0.5000 0.5000 0.0000
4 Cu 0.7500 0.2500 0.5000
5 H 0.0651 0.1764 0.5639
6 H 0.4988 0.9349 0.1113
7 H 0.6125 0.5012 0.4361
8 H 0.8236 0.3875 0.8887

=====

DFT (PBE) results for a geometry-optimized TbHo3Cd structure.

Computed properties:
The calculation puts the energy of formation at -0.061 eV/atom. As for the space group: P2_1/m, No. 11. The crystal system is monoclinic. The value obtained for the calculated total energy is -39.169 eV/cell. The relative energy among the computed polymorphs comes out at 0.00 eV per formula unit.

a b c (Å): 6.5153 5.4221 8.4916
angles (deg): 90.00 104.03 90.00
Element x y z (fractional)
1 Tb 0.1181 0.2500 0.0676
2 Tb 0.8819 0.7500 0.9324
3 Ho 0.0430 0.7500 0.3540
4 Ho 0.3832 0.2500 0.4353
5 Ho 0.4581 0.7500 0.1474
6 Ho 0.5419 0.2500 0.8526
7 Ho 0.6168 0.7500 0.5647
8 Ho 0.9570 0.2500 0.6460
9 Cd 0.2520 0.7500 0.7497
10 Cd 0.7480 0.2500 0.2503

=====

DFT (PBE) results for a geometry-optimized Tm2Pa3C4 structure.

Computed properties:
The calculation puts the energy of formation at -0.392 eV/atom. As for the space group: C2/m, No. 12. The crystal system is monoclinic. The value obtained for the calculated total energy is -77.854 eV/cell.

a b c (Å): 6.2388 6.2388 8.7678
angles (deg): 119.08 119.08 33.27
Element x y z (fractional)
1 Tm 0.1083 0.1083 0.3907
2 Tm 0.8917 0.8917 0.6093
3 Pa 0.3010 0.3010 0.2015
4 Pa 0.5000 0.5000 0.0000
5 Pa 0.6990 0.6990 0.7985
6 C 0.1088 0.1088 0.9120
7 C 0.2939 0.2939 0.7057
8 C 0.7061 0.7061 0.2943
9 C 0.8912 0.8912 0.0880

=====

DFT (PBE) results for a geometry-optimized Nb2RuSe6 structure.

Computed properties:
As for the space group: P2_1/c, No. 14. The crystal system is monoclinic. The calculation puts the formation energy (no corrections) at -4.190 eV/f.u. The value obtained for the calculated total energy is -109.026 eV/cell.

a b c (Å): 6.2458 6.1791 11.9017
angles (deg): 90.00 120.99 90.00
Element x y z (fractional)
1 Nb 0.1752 0.1636 0.2537
2 Nb 0.1752 0.3364 0.7537
3 Nb 0.8248 0.6636 0.2463
4 Nb 0.8248 0.8364 0.7463
5 Ru 0.5000 0.0000 0.0000
6 Ru 0.5000 0.5000 0.5000
7 Se 0.0732 0.1617 0.9152
8 Se 0.0732 0.3383 0.4152
9 Se 0.2304 0.6620 0.9204
10 Se 0.2304 0.8380 0.4204
11 Se 0.4595 0.0357 0.7789
12 Se 0.4595 0.4643 0.2789
13 Se 0.5405 0.5357 0.7211
14 Se 0.5405 0.9643 0.2211
15 Se 0.7696 0.1620 0.5796
16 Se 0.7696 0.3380 0.0796
17 Se 0.9268 0.6617 0.5848
18 Se 0.9268 0.8383 0.0848